No. 1
Here is a geometry-optimized GaSiIr structure from the Alexandria database. Energies are from PBE.

```
GaSiIr
1.0
5.840 0.000 0.000
0.000 5.840 0.000
0.000 0.000 5.840
Ga Si Ir
4 4 4
direct
0.000 0.000 0.000 Ga
0.000 0.500 0.500 Ga
0.500 0.000 0.500 Ga
0.500 0.500 0.000 Ga
0.000 0.000 0.500 Si
0.000 0.500 0.000 Si
0.500 0.000 0.000 Si
0.500 0.500 0.500 Si
0.250 0.250 0.750 Ir
0.250 0.750 0.250 Ir
0.750 0.250 0.250 Ir
0.750 0.750 0.750 Ir
```

- Crystal system: cubic
- Formation energy without anion corrections: -0.39 eV per atom
- V: 199.15 Å³ per cell
- Space-group type: No. 216
- Electronic total energy: -6.156 eV per atom

***

No. 2
Here is a geometry-optimized GaSiIr structure from the Alexandria database. Energies are from PBE.

```
GaSiIr
1.0
3.598 0.000 0.000
0.000 5.539 3.408
0.000 -5.539 3.408
Ga Si Ir
3 3 3
direct
0.000 0.000 0.000 Ga
0.000 0.382 0.776 Ga
0.000 0.776 0.382 Ga
0.500 0.110 0.388 Si
0.500 0.388 0.110 Si
0.500 0.626 0.626 Si
0.000 0.377 0.377 Ir
0.500 0.035 0.726 Ir
0.500 0.726 0.035 Ir
```

- Crystal system: orthorhombic
- Formation energy without anion corrections: -0.39 eV per atom
- V: 135.85 Å³ per cell
- Space-group type: No. 38
- Electronic total energy: -6.164 eV per atom

***

No. 3
Here is a geometry-optimized GaSiIr2 structure from the Alexandria database. Energies are from PBE.

```
GaSiIr2
1.0
3.838 0.000 0.000
-1.919 3.324 0.000
0.000 0.000 14.559
Ga Si Ir
3 3 6
direct
0.000 0.000 0.000 Ga
0.333 0.667 0.667 Ga
0.667 0.333 0.333 Ga
0.000 0.000 0.176 Si
0.333 0.667 0.843 Si
0.667 0.333 0.509 Si
0.000 0.000 0.572 Ir
0.000 0.000 0.767 Ir
0.333 0.667 0.239 Ir
0.333 0.667 0.434 Ir
0.667 0.333 0.100 Ir
0.667 0.333 0.905 Ir
```

- Crystal system: trigonal
- Formation energy without anion corrections: -0.42 eV per atom
- V: 185.77 Å³ per cell
- Space-group type: No. 160
- Electronic total energy: -6.963 eV per atom

***

No. 4
Here is a geometry-optimized Sm2GaSi4Ir3 structure from the Alexandria database. Energies are from PBE.

```
Sm2GaSi4Ir3
1.0
4.171 0.000 0.000
0.000 4.171 0.000
0.000 0.000 10.079
Sm Ga Si Ir
2 1 4 3
direct
0.000 0.500 0.243 Sm
0.500 0.000 0.757 Sm
0.000 0.000 0.500 Ga
0.000 0.000 0.000 Si
0.000 0.500 0.643 Si
0.500 0.000 0.357 Si
0.500 0.500 0.000 Si
0.000 0.500 0.878 Ir
0.500 0.000 0.122 Ir
0.500 0.500 0.500 Ir
```

- Crystal system: tetragonal
- Formation energy without anion corrections: -0.88 eV per atom
- V: 175.35 Å³ per cell
- Space-group type: No. 115
- Electronic total energy: -6.950 eV per atom

***

No. 5
Here is a geometry-optimized Sm2Ga3SiIr4 structure from the Alexandria database. Energies are from PBE.

```
Sm2Ga3SiIr4
1.0
4.296 0.000 0.000
0.000 4.296 0.000
0.000 0.000 9.968
Sm Ga Si Ir
2 3 1 4
direct
0.000 0.500 0.241 Sm
0.500 0.000 0.759 Sm
0.000 0.500 0.870 Ga
0.500 0.000 0.130 Ga
0.500 0.500 0.500 Ga
0.000 0.000 0.500 Si
0.000 0.000 0.000 Ir
0.000 0.500 0.621 Ir
0.500 0.000 0.379 Ir
0.500 0.500 0.000 Ir
```

- Crystal system: tetragonal
- Formation energy without anion corrections: -0.76 eV per atom
- V: 184.01 Å³ per cell
- Space-group type: No. 115
- Electronic total energy: -6.699 eV per atom

***

No. 6
Here is a geometry-optimized Sm2GaSi3Ir4 structure from the Alexandria database. Energies are from PBE.

```
Sm2GaSi3Ir4
1.0
4.180 0.000 0.000
0.000 4.180 0.000
0.000 0.000 10.009
Sm Ga Si Ir
2 1 3 4
direct
0.000 0.500 0.248 Sm
0.500 0.000 0.752 Sm
0.500 0.500 0.000 Ga
0.000 0.000 0.000 Si
0.000 0.500 0.628 Si
0.500 0.000 0.372 Si
0.000 0.000 0.500 Ir
0.000 0.500 0.865 Ir
0.500 0.000 0.135 Ir
0.500 0.500 0.500 Ir
```

- Crystal system: tetragonal
- Formation energy without anion corrections: -0.98 eV per atom
- V: 174.85 Å³ per cell
- Space-group type: No. 115
- Electronic total energy: -7.399 eV per atom